# PmReGe4

A relaxed PmReGe4 crystal (PBE, Alexandria via LeMat-Bulk).

M_tot in μB per formula unit: 0.00
Total DFT energy (no corrections) in eV/atom: -6.079

a b c (Å): 6.4223 6.8599 6.5382
angles (deg): 92.70 119.41 90.00
Closest atoms and distances in Å follow each position.
Element x y z (fractional)
Ge  0.6397  0.3491  0.5023  2 Re 2.54-2.55, 2 Ge 2.73-2.83
Ge  0.6835  0.4093  0.1004  2 Ge 2.41-2.44, 1 Re 2.44
Ge  0.3165  0.5907  0.8996  2 Ge 2.41-2.44, 1 Re 2.44
Ge  0.4171  0.9093  0.1005  2 Ge 2.41-2.44, 1 Re 2.44
Re  0.5000  0.0000  0.5000  6 Ge 2.44-2.55
Ge  0.1374  0.1507  0.4980  2 Re 2.54-2.55, 2 Ge 2.73-2.82
Pm  0.9048  0.7500  0.9998  6 Ge 3.00-3.24
Re  0.0000  0.5000  0.5000  6 Ge 2.44-2.55
Ge  0.8626  0.8493  0.5020  2 Re 2.54-2.55, 2 Ge 2.73-2.82
Ge  0.3603  0.6509  0.4977  2 Re 2.54-2.55, 2 Ge 2.73-2.83
Ge  0.5829  0.0907  0.8995  2 Ge 2.41-2.44, 1 Re 2.44
Pm  0.0952  0.2500  0.0002  6 Ge 3.00-3.24



# KZr2Co

A relaxed KZr2Co crystal (PBE, Alexandria via LeMat-Bulk).

ΔE to the lowest computed polymorph in kJ/mol of formula units: 81
M_tot in μB per formula unit: 0.51

a b c (Å): 4.7837 4.7837 8.3358
angles (deg): 74.20 74.20 39.85
Closest atoms and distances in Å follow each position.
Element x y z (fractional)
K  0.8354  0.8354  0.7184  2 K 3.26, 2 Co 3.52
Zr  0.9847  0.9847  0.1070  2 Co 2.47
Zr  0.1988  0.1988  0.3437  3 Co 2.51-2.57
Co  0.4811  0.4811  0.3309  5 Zr 2.47-2.57



# HgSbTe2

A relaxed HgSbTe2 crystal (PBE, Alexandria via LeMat-Bulk).

Raw formation energy in eV/atom: 0.146
ΔE to the lowest computed polymorph in kJ/mol of formula units: 87
M_tot in μB per formula unit: 0.00

a b c (Å): 13.0516 13.0516 13.0516
angles (deg): 14.62 14.62 14.62
Closest atoms and distances in Å follow each position.
Element x y z (fractional)
Te  0.9203  0.9203  0.9203  1 Sb 3.09, 6 Te 3.32
Sb  0.0000  0.0000  0.0000  2 Te 3.09, 6 Sb 3.32
Te  0.0797  0.0797  0.0797  1 Sb 3.09, 6 Te 3.32
Hg  0.5000  0.5000  0.5000  6 Hg 3.32



# MgNi2Te

A relaxed MgNi2Te crystal (PBE, Alexandria via LeMat-Bulk).

Raw formation energy in eV/atom: 0.172
ΔE to the lowest computed polymorph in kJ/mol of formula units: 111
M_tot in μB per formula unit: 0.00

a b c (Å): 7.9748 7.9748 7.9748
angles (deg): 23.15 23.15 23.15
Closest atoms and distances in Å follow each position.
Element x y z (fractional)
Te  0.2500  0.2500  0.2500  6 Ni 2.62
Ni  0.5034  0.5034  0.5034  3 Te 2.62, 3 Mg 2.74
Ni  0.9966  0.9966  0.9966  3 Te 2.62, 3 Mg 2.74
Mg  0.7500  0.7500  0.7500  6 Ni 2.74



# K2CuRu

A relaxed K2CuRu crystal (PBE, Alexandria via LeMat-Bulk).

ΔE to the lowest computed polymorph in kJ/mol of formula units: 134
M_tot in μB per formula unit: 1.33

a b c (Å): 2.9546 2.9546 10.6037
angles (deg): 90.00 90.00 89.99
Closest atoms and distances in Å follow each position.
Element x y z (fractional)
Ru  0.5000  0.5000  0.2500  4 Ru 2.95
Cu  0.5000  0.5000  0.7500  4 Cu 2.95
K  0.0000  0.0000  0.4992  4 K 2.95
K  0.0000  0.0000  0.0008  4 K 2.95



# AgSb2

A relaxed AgSb2 crystal (PBE, Alexandria via LeMat-Bulk).

Raw formation energy in eV/atom: 0.182
M_tot in μB per formula unit: 0.00

a b c (Å): 7.9888 7.9888 7.9888
angles (deg): 157.35 157.35 32.25
Closest atoms and distances in Å follow each position.
Element x y z (fractional)
Sb  0.8540  0.8540  0.0000  4 Sb 3.14, 4 Ag 3.15
Ag  0.5000  0.5000  0.0000  4 Ag 3.14, 8 Sb 3.15
Sb  0.1460  0.1460  0.0000  4 Sb 3.14, 4 Ag 3.15



# Y3Mn

A relaxed Y3Mn crystal (PBE, Alexandria via LeMat-Bulk).

M_tot in μB per formula unit: 3.19
Total DFT energy (no corrections) in eV/atom: -6.858

a b c (Å): 5.6332 5.6332 3.6111
angles (deg): 90.00 90.00 104.20
Closest atoms and distances in Å follow each position.
Element x y z (fractional)
Y  0.5000  0.0000  0.5000  8 Y 3.35-3.61, 4 Mn 3.35
Mn  0.0000  0.0000  0.0000  10 Y 3.35-3.46, 2 Mn 3.61
Y  0.5000  0.5000  0.0000  10 Y 3.35-3.61, 2 Mn 3.46
Y  0.0000  0.5000  0.5000  4 Mn 3.35, 8 Y 3.35-3.61



# Nd4AsBr5

A relaxed Nd4AsBr5 crystal (PBE, Alexandria via LeMat-Bulk).

Raw formation energy in eV/atom: -1.625
M_tot in μB per formula unit: 0.00

a b c (Å): 4.1756 8.6450 9.5698
angles (deg): 102.92 102.60 90.00
Closest atoms and distances in Å follow each position.
Element x y z (fractional)
Nd  0.0003  0.2255  0.0007  2 As 2.86, 4 Br 3.04-3.16
Br  0.5000  0.5000  0.0000  4 Nd 3.16
Nd  0.9997  0.7745  0.9993  2 As 2.86, 4 Br 3.04-3.16
Br  0.8288  0.1653  0.6576  4 Nd 3.06-3.19
Br  0.1712  0.8347  0.3424  4 Nd 3.06-3.19
Nd  0.3465  0.9185  0.6930  1 As 2.79, 4 Br 2.99-3.06
Br  0.8332  0.6652  0.6664  3 Nd 2.99-3.04
Br  0.1668  0.3348  0.3336  3 Nd 2.99-3.04
Nd  0.6535  0.0815  0.3070  1 As 2.79, 4 Br 2.99-3.06
As  0.5000  0.0000  0.0000  6 Nd 2.79-2.86



# SmNbFe10

A relaxed SmNbFe10 crystal (PBE, Alexandria via LeMat-Bulk).

M_tot in μB per formula unit: 17.81
Total DFT energy (no corrections) in eV/atom: -8.228

a b c (Å): 3.9846 4.8698 8.4208
angles (deg): 90.00 90.00 90.00
Closest atoms and distances in Å follow each position.
Element x y z (fractional)
Fe  0.5000  0.7466  0.7400  8 Fe 2.37-2.50
Nb  0.0000  0.5000  0.5000  6 Fe 2.64-2.76
Fe  0.5000  0.2534  0.7400  8 Fe 2.37-2.50
Fe  0.0000  0.5000  0.8135  6 Fe 2.41-2.54, 1 Nb 2.64
Sm  0.0000  0.0000  0.0000  18 Fe 2.90-3.21
Fe  0.0000  0.0000  0.6549  7 Fe 2.38-2.61
Fe  0.5000  0.7466  0.2600  8 Fe 2.37-2.50
Fe  0.5000  0.2534  0.2600  8 Fe 2.37-2.50
Fe  0.0000  0.0000  0.3451  7 Fe 2.38-2.61
Fe  0.5000  0.0000  0.5000  8 Fe 2.37-2.38
Fe  0.5000  0.5000  0.0000  8 Fe 2.50-2.54
Fe  0.0000  0.5000  0.1865  6 Fe 2.41-2.54, 1 Nb 2.64



# La5Hg

A relaxed La5Hg crystal (PBE, Alexandria via LeMat-Bulk).

ΔE to the lowest computed polymorph in kJ/mol of formula units: 306
M_tot in μB per formula unit: 0.04

a b c (Å): 6.4612 6.4612 5.9825
angles (deg): 90.00 90.00 120.00
Closest atoms and distances in Å follow each position.
Element x y z (fractional)
La  0.3333  0.6667  0.0000  9 La 3.53-3.73, 3 Hg 3.73
La  0.5000  0.0000  0.5000  8 La 3.23-3.53
La  0.0000  0.5000  0.5000  8 La 3.23-3.53
La  0.6667  0.3333  0.0000  9 La 3.53-3.73, 3 Hg 3.73
La  0.5000  0.5000  0.5000  8 La 3.23-3.53
Hg  0.0000  0.0000  0.0000  6 La 3.73



# SmErIr

A relaxed SmErIr crystal (PBE, Alexandria via LeMat-Bulk).

ΔE to the lowest computed polymorph in kJ/mol of formula units: 21
M_tot in μB per formula unit: 0.00

a b c (Å): 4.5269 4.5269 7.9941
angles (deg): 106.43 106.43 90.04
Closest atoms and distances in Å follow each position.
Element x y z (fractional)
Ir  0.8752  0.8752  0.2497  1 Sm 2.78, 4 Er 2.91
Er  0.5000  0.0000  0.5000  4 Ir 2.91, 4 Er 3.20
Sm  0.6854  0.6854  0.8708  1 Ir 2.78
Sm  0.3146  0.3146  0.1292  1 Ir 2.78
Er  0.0000  0.5000  0.5000  4 Ir 2.91, 4 Er 3.20
Ir  0.1248  0.1248  0.7503  1 Sm 2.78, 4 Er 2.91



# TmBeZn

A relaxed TmBeZn crystal (PBE, Alexandria via LeMat-Bulk).

ΔE to the lowest computed polymorph in kJ/mol of formula units: 1
M_tot in μB per formula unit: 0.00

a b c (Å): 3.7855 5.0333 10.9989
angles (deg): 90.00 90.00 90.00
Closest atoms and distances in Å follow each position.
Element x y z (fractional)
Zn  0.2500  0.6294  0.6553  3 Be 2.31-2.38
Be  0.2500  0.8921  0.0240  2 Be 2.25, 3 Zn 2.31-2.38
Be  0.2500  0.3921  0.4760  2 Be 2.25, 3 Zn 2.31-2.38
Zn  0.2500  0.1294  0.8447  3 Be 2.31-2.38
Be  0.7500  0.1079  0.9760  2 Be 2.25, 3 Zn 2.31-2.38
Tm  0.2500  0.8864  0.3682  4 Be 2.76-2.91, 2 Zn 3.01
Be  0.7500  0.6079  0.5240  2 Be 2.25, 3 Zn 2.31-2.38
Zn  0.7500  0.8706  0.1553  3 Be 2.31-2.38
Tm  0.7500  0.6136  0.8682  4 Be 2.76-2.91, 2 Zn 3.01
Tm  0.2500  0.3864  0.1318  4 Be 2.76-2.91, 2 Zn 3.01
Zn  0.7500  0.3706  0.3447  3 Be 2.31-2.38
Tm  0.7500  0.1136  0.6318  4 Be 2.76-2.91, 2 Zn 3.01



Question: Number 4 is which compound?
Answer: MgNi2Te



Question: What is the formula in the ninth record?
Answer: SmNbFe10



Question: What is the formula in the second record?
Answer: KZr2Co